The following is a PBE-GGA calculation of an optimized crystal structure of Sr3Nb3N5, from Alexandria via LeMat-Bulk.

Lattice parameters (Å, degrees): 6.1952 8.0491 8.2258 107.60 102.01 102.13
Closest atoms and distances in Å follow each position.
Sites, in units of the cell vectors:
Sr 0.1381 0.3270 0.3772  6 N 2.68-2.92
Sr 0.1875 0.1699 0.7272  4 N 2.58-2.74
Sr 0.2472 0.9340 0.0759  4 N 2.56-2.85
Sr 0.7528 0.0660 0.9241  4 N 2.56-2.85
Sr 0.8125 0.8301 0.2728  4 N 2.58-2.74
Sr 0.8619 0.6730 0.6228  6 N 2.68-2.92
Nb 0.2234 0.5084 0.0969  4 N 2.06-2.16
Nb 0.4033 0.8167 0.4992  4 N 2.03-2.13
Nb 0.4042 0.6278 0.7996  4 N 2.07-2.14
Nb 0.5958 0.3722 0.2004  4 N 2.07-2.14
Nb 0.5967 0.1833 0.5008  4 N 2.03-2.13
Nb 0.7766 0.4916 0.9031  4 N 2.06-2.16
N 0.0967 0.5344 0.8492  3 Nb 2.07-2.11
N 0.2355 0.2461 0.0632  2 Nb 2.06-2.14
N 0.2710 0.0086 0.4109  2 Nb 2.04-2.13
N 0.3239 0.8418 0.7315  2 Nb 2.03-2.09
N 0.5003 0.4004 0.6588  3 Nb 2.12-2.16
N 0.4997 0.5996 0.3412  3 Nb 2.12-2.16
N 0.6761 0.1582 0.2685  2 Nb 2.03-2.09
N 0.7290 0.9914 0.5891  2 Nb 2.04-2.13
N 0.7645 0.7539 0.9368  2 Nb 2.06-2.14
N 0.9033 0.4656 0.1508  3 Nb 2.07-2.11

Calculated values
Total energy, eV/atom: -7.81
Total magnetic moment, μB per cell: 0.0
ΔE_f (raw), kJ/mol of formula units: -871.2
Calculated volume, Å³/cell: 365.6

The following is a PBE-GGA calculation of an optimized crystal structure of Ho4Mg5Cd2, from Alexandria via LeMat-Bulk.

Lattice parameters (Å, degrees): 8.0192 3.4221 10.5323 90.00 93.93 90.00
Closest atoms and distances in Å follow each position.
Sites, in units of the cell vectors:
Ho 0.1574 0.0000 0.3861  2 Cd 3.19, 8 Mg 3.35-3.43, 2 Ho 3.42
Ho 0.2786 0.0000 0.9468  4 Cd 3.26, 6 Mg 3.40-3.43, 3 Ho 3.42-3.65
Ho 0.7214 0.0000 0.0532  4 Cd 3.26, 6 Mg 3.40-3.43, 3 Ho 3.42-3.65
Ho 0.8426 0.0000 0.6139  2 Cd 3.19, 8 Mg 3.35-3.43, 2 Ho 3.42
Mg 0.2002 0.5000 0.6673  1 Cd 3.01, 2 Mg 3.08-3.16, 2 Ho 3.35
Mg 0.4304 0.5000 0.2086  1 Cd 3.04, 2 Mg 3.08-3.16, 4 Ho 3.40
Mg 0.5000 0.5000 0.5000  6 Mg 3.08-3.42, 4 Ho 3.39
Mg 0.5696 0.5000 0.7914  1 Cd 3.04, 2 Mg 3.08-3.16, 4 Ho 3.40
Mg 0.7998 0.5000 0.3327  1 Cd 3.01, 2 Mg 3.08-3.16, 2 Ho 3.35
Cd 0.0566 0.5000 0.1374  1 Cd 2.97, 2 Mg 3.01-3.04, 6 Ho 3.19-3.26
Cd 0.9434 0.5000 0.8626  1 Cd 2.97, 2 Mg 3.01-3.04, 6 Ho 3.19-3.26

Calculated values
Total energy, eV/atom: -2.65
Total magnetic moment, μB per cell: 0.0
E_form, kJ/mol of formula units: -100.1
Calculated volume, Å³/cell: 288.4

The following is a PBE-GGA calculation of an optimized crystal structure of AcTlP2, from Alexandria via LeMat-Bulk.

Lattice parameters (Å, degrees): 6.9532 6.9532 6.9532 36.75 36.75 36.75
Closest atoms and distances in Å follow each position.
Sites, in units of the cell vectors:
Ac 0.0000 0.0000 0.0000  6 P 3.06
Tl 0.5000 0.5000 0.5000  6 P 2.96
P 0.2452 0.2452 0.2452  3 Tl 2.96, 3 Ac 3.06
P 0.7548 0.7548 0.7548  3 Tl 2.96, 3 Ac 3.06

Calculated values
Total energy, eV/atom: -4.72
Total magnetic moment, μB per cell: 0.0
E_form, kJ/mol of formula units: -152.5
Calculated volume, Å³/cell: 107.8

The following is a PBE-GGA calculation of an optimized crystal structure of TaV2H, from Alexandria via LeMat-Bulk.

Lattice parameters (Å, degrees): 4.2390 4.2390 4.2390 60.00 60.00 60.00
Closest atoms and distances in Å follow each position.
Sites, in units of the cell vectors:
Ta 0.0000 0.0000 0.0000  8 V 2.60
V 0.2500 0.2500 0.2500  4 H 2.60, 4 Ta 2.60
V 0.7500 0.7500 0.7500  4 H 2.60, 4 Ta 2.60
H 0.5000 0.5000 0.5000  8 V 2.60

Calculated values
Total energy, eV/atom: -7.46
Total magnetic moment, μB per cell: 0.0
Calculated volume, Å³/cell: 53.9

The following is a PBE-GGA calculation of an optimized crystal structure of Rb2SrSbS4, from Alexandria via LeMat-Bulk.

Lattice parameters (Å, degrees): 8.7172 8.7172 8.7172 121.64 118.15 90.20
Closest atoms and distances in Å follow each position.
Sites, in units of the cell vectors:
Rb 0.0000 0.0000 0.0000  6 S 3.19-3.22
Rb 0.5000 0.0000 0.0000  6 S 3.43-3.50
Rb 0.5000 0.0000 0.5000  6 S 3.19-3.22
Rb 0.5000 0.5000 0.5000  6 S 3.43-3.50
Sr 0.0000 0.5000 0.5000  6 S 3.01-3.03
Sr 0.5000 0.5000 0.0000  6 S 3.01-3.03
Sb 0.0000 0.0000 0.5000  6 S 2.66-2.78
Sb 0.0000 0.5000 0.0000  6 S 2.66-2.78
S 0.1934 0.7434 0.4500  2 Sb 2.78, 1 Sr 3.03
S 0.2066 0.2566 0.9500  2 Sb 2.78, 1 Sr 3.03
S 0.2161 0.2346 0.5184  1 Sb 2.66
S 0.2161 0.6977 0.9816  1 Sb 2.66
S 0.7839 0.3023 0.0184  1 Sb 2.66
S 0.7839 0.7654 0.4816  1 Sb 2.66
S 0.7934 0.7434 0.0500  2 Sb 2.78, 1 Sr 3.03
S 0.8066 0.2566 0.5500  2 Sb 2.78, 1 Sr 3.03

Calculated values
Total energy, eV/atom: -4.04
Total magnetic moment, μB per cell: 0.0
ΔE_f (raw), kJ/mol of formula units: -775.3
Calculated volume, Å³/cell: 468.6

Question: The lowest calculated volume belongs to which entry?
Answer: TaV2H